[1]
First-principles (GGA-PBE) data for Rb2AcTlCl6 after structural relaxation, as listed in the Alexandria database.

abc: 7.949 8.398 11.383
angles: 90.00 88.28 90.00
Fractional positions:
Tl 0.500 0.000 0.000
Tl 0.000 0.500 0.500
Cl 0.678 0.281 0.576
Cl 0.791 0.815 0.559
Cl 0.131 0.441 0.765
Cl 0.369 0.941 0.735
Cl 0.178 0.219 0.076
Cl 0.709 0.315 0.941
Cl 0.822 0.781 0.924
Cl 0.291 0.685 0.059
Cl 0.869 0.559 0.235
Cl 0.209 0.185 0.441
Cl 0.631 0.059 0.265
Cl 0.322 0.719 0.424
Rb 0.472 0.430 0.243
Rb 0.972 0.070 0.743
Rb 0.528 0.570 0.757
Rb 0.028 0.930 0.257
Ac 0.500 0.000 0.500
Ac 0.000 0.500 0.000

Properties
The value obtained for the calculated volume is 759.6 Å³/cell. Its formation energy without anion corrections is -1980 meV/atom. Its space-group type is P2_1/c (14).

[2]
First-principles (GGA-PBE) data for RbAcTl2Cl6 after structural relaxation, as listed in the Alexandria database.

abc: 8.068 8.068 8.378
angles: 89.99 118.79 120.00
Fractional positions:
Cl 0.080 0.177 0.697
Cl 0.083 0.350 0.174
Cl 0.457 0.105 0.174
Cl 0.535 0.903 0.697
Cl 0.838 0.732 0.174
Cl 0.808 0.631 0.697
Ac 0.989 0.994 0.970
Rb 0.007 0.503 0.496
Tl 0.578 0.788 0.352
Tl 0.591 0.295 0.872

Properties
The value obtained for the calculated volume is 392.5 Å³/cell. Its formation energy without anion corrections is -1786 meV/atom. Its space-group type is R3 (146).

[3]
First-principles (GGA-PBE) data for RbAcVCl6 after structural relaxation, as listed in the Alexandria database.

abc: 7.032 7.032 14.527
angles: 90.00 90.00 120.00
Fractional positions:
Cl 0.385 0.042 0.147
Cl 0.344 0.385 0.853
Cl 0.615 0.656 0.647
Cl 0.042 0.385 0.647
Cl 0.656 0.615 0.147
Cl 0.385 0.344 0.353
Cl 0.958 0.344 0.147
Cl 0.042 0.656 0.853
Cl 0.656 0.042 0.353
Cl 0.958 0.615 0.353
Cl 0.344 0.958 0.647
Cl 0.615 0.958 0.853
Ac 0.667 0.333 0.750
Ac 0.333 0.667 0.250
Rb 0.000 0.000 0.000
Rb 0.000 0.000 0.500
V 0.333 0.667 0.750
V 0.667 0.333 0.250

Properties
The value obtained for the calculated volume is 622.2 Å³/cell. Its formation energy without anion corrections is -1891 meV/atom. Its space-group type is P-31c (163).

[4]
First-principles (GGA-PBE) data for Ac3Rh2Cl after structural relaxation, as listed in the Alexandria database.

abc: 4.331 8.199 11.260
angles: 90.00 90.01 90.25
Fractional positions:
Cl 0.498 0.497 0.185
Cl 0.502 0.503 0.685
Rh 0.499 0.993 0.823
Rh 0.000 0.902 0.979
Rh 0.000 0.098 0.480
Rh 0.501 0.007 0.323
Ac 0.999 0.800 0.249
Ac 0.502 0.125 0.077
Ac 0.499 0.667 0.936
Ac 0.499 0.875 0.577
Ac 0.501 0.333 0.436
Ac 0.001 0.200 0.749

Properties
The value obtained for the calculated volume is 399.8 Å³/cell. Its formation energy without anion corrections is -933 meV/atom. Its space-group type is P2_1 (4).

[5]
First-principles (GGA-PBE) data for Ac6Rh3Cl2 after structural relaxation, as listed in the Alexandria database.

abc: 7.531 7.537 8.097
angles: 81.09 71.94 60.03
Fractional positions:
Ac 0.928 0.669 0.209
Ac 0.072 0.331 0.791
Ac 0.597 0.331 0.209
Ac 0.403 0.669 0.791
Ac 0.266 0.000 0.209
Ac 0.734 0.000 0.791
Rh 0.000 0.000 0.000
Rh 0.330 0.339 0.000
Rh 0.670 0.661 0.000
Cl 0.833 0.333 0.500
Cl 0.167 0.667 0.500

Properties
The value obtained for the calculated volume is 378.6 Å³/cell. Its formation energy without anion corrections is -1045 meV/atom. Its space-group type is C2/m (12).

[6]
First-principles (GGA-PBE) data for Ac4Rh3Cl after structural relaxation, as listed in the Alexandria database.

abc: 4.324 7.559 7.559
angles: 71.30 89.98 89.98
Fractional positions:
Ac 0.000 0.770 0.730
Ac 0.500 0.757 0.257
Ac 0.000 0.230 0.270
Ac 0.500 0.243 0.743
Cl 0.500 0.500 0.000
Rh 0.000 0.500 0.500
Rh 0.500 0.000 0.500
Rh 0.000 0.000 0.000

Properties
The value obtained for the calculated volume is 234.0 Å³/cell. Its formation energy without anion corrections is -917 meV/atom. Its space-group type is Cmmm (65).

[7]
First-principles (GGA-PBE) data for Ac2RhCl after structural relaxation, as listed in the Alexandria database.

abc: 4.312 4.312 8.408
angles: 75.14 75.14 60.00
Fractional positions:
Ac 0.266 0.266 0.202
Ac 0.734 0.734 0.798
Rh 0.000 0.000 0.000
Cl 0.500 0.500 0.500

Properties
The value obtained for the calculated volume is 129.3 Å³/cell. The energy relative to the lowest polymorph listed for this composition is 0.00 eV/f.u. Its formation energy without anion corrections is -1261 meV/atom. Its space-group type is R-3m (166).

[8]
First-principles (GGA-PBE) data for Ac2RhCl after structural relaxation, as listed in the Alexandria database.

abc: 4.353 5.902 10.291
angles: 90.00 90.00 90.00
Fractional positions:
Ac 0.000 0.000 0.822
Ac 0.000 0.000 0.424
Ac 0.500 0.500 0.178
Ac 0.500 0.500 0.576
Cl 0.000 0.500 0.928
Cl 0.500 0.000 0.072
Rh 0.500 0.000 0.633
Rh 0.000 0.500 0.367

Properties
The value obtained for the calculated volume is 264.4 Å³/cell. The energy relative to the lowest polymorph listed for this composition is 0.16 eV/f.u. Its formation energy without anion corrections is -1220 meV/atom. Its space-group type is Pmmn (59).